DFT (PBE-GGA) results for Ce6PuN8 after structural relaxation.

Lattice parameters (Å, degrees): 10.0358 10.0358 10.0358 90.00 90.00 90.00
Last column: nearest neighbours and their distance in Å.
Space group Fm-3m (No. 225)
Asymmetric unit:
Ce 0.0000 0.2500 0.2500  6 N 2.51-2.52
Pu 0.0000 0.0000 0.0000  6 N 2.23
N 0.0000 0.0000 0.2226  1 Pu 2.23
N 0.2500 0.2500 0.2500  6 Ce 2.51

Output
E_form (uncorrected) ... -1.281 eV/atom

DFT (PBE-GGA) results for Al3Te after structural relaxation.

Lattice parameters (Å, degrees): 5.5513 5.5513 5.5513 90.00 90.00 90.00
Last column: nearest neighbours and their distance in Å.
Space group Pm-3n (No. 223)
Asymmetric unit:
Al 0.0000 0.2500 0.5000  2 Al 2.78, 4 Te 3.10
Te 0.0000 0.0000 0.0000  12 Al 3.10

Output
ΔE to the lowest computed polymorph ... 257.6 meV/atom
E_form (uncorrected) ... 0.304 eV/atom